[1]
## InGaCuRe2 (PBE-GGA)

Data for an optimized crystal structure of InGaCuRe2.

Cell lengths 5.0444, 4.8863, 5.0444 Å; angles 90.00, 90.00, 90.00 degrees
Site moments in Bohr magnetons follow the coordinates.
Fractional positions:
Re 0.0000 0.0000 0.5000  2.26
Re 0.5000 0.0000 0.0000  2.08
Cu 0.5000 0.5000 0.5000  0.10
Ga 0.0000 0.5000 0.0000  -0.01
In 0.0000 0.0000 0.0000  -0.01

Results
As for the crystal system: tetragonal. Its formation energy is 12.9 eV/f.u. The density of states at the Fermi level is 3.503 states/eV/cell. As for the space group: P4/mmm, No. 123. The mass density comes out at 8.29 g/cm3. The size of the total moment comes out at 1.000 μB/atom.

[2]
## GeAsF2 (PBE-GGA)

Data for an optimized crystal structure of GeAsF2.

Cell lengths 4.3593, 4.3593, 4.3593 Å; angles 60.00, 60.00, 60.00 degrees
Fractional positions:
As 0.5000 0.5000 0.5000
Ge 0.0000 0.0000 0.0000
F 0.2500 0.2500 0.2500
F 0.7500 0.7500 0.7500

Results
As for the crystal system: cubic. The density of states at the Fermi level is 4.299 states/eV/cell. As for the space group: Fm-3m, No. 225. For the energy above the most stable polymorph in this dataset, the calculation gives 577 meV per atom. The mass density comes out at 5.26 g/cm3. The size of the total moment comes out at 0.000 μB/atom.

[3]
## RuNCl2 (PBE-GGA)

Data for an optimized crystal structure of RuNCl2.

Cell lengths 6.8860, 6.8860, 6.8860 Å; angles 29.82, 29.82, 29.82 degrees
Fractional positions:
Ru 0.5000 0.5000 0.5000
N 0.0000 0.0000 0.0000
Cl 0.8982 0.8982 0.8982
Cl 0.1018 0.1018 0.1018

Results
As for the crystal system: trigonal. The density of states at the Fermi level is 4.407 states/eV/cell. As for the space group: R-3m, No. 166. For the energy above the most stable polymorph in this dataset, the calculation gives 1206 meV per atom. The mass density comes out at 4.32 g/cm3. The size of the total moment comes out at 0.000 μB/atom.

[4]
## ThZnGa (PBE-GGA)

Data for an optimized crystal structure of ThZnGa.

Cell lengths 4.1786, 4.3038, 4.3038 Å; angles 120.00, 90.00, 90.00 degrees
Fractional positions:
Zn 0.1662 0.0000 0.0000
Ga 0.1671 0.3333 0.6667
Th 0.6667 0.6667 0.3333

Results
As for the crystal system: hexagonal. Its formation energy is -1.4 eV/f.u. The density of states at the Fermi level is 2.838 states/eV/cell. As for the space group: P-6m2, No. 187. The mass density comes out at 9.10 g/cm3. The size of the total moment comes out at 0.000 μB/atom.